1.
Entry from the Alexandria database: CoTe2HBr after structural relaxation (PBE).

a = 4.258 Å, b = 4.258 Å, c = 6.956 Å
α = 90.00°, β = 90.00°, γ = 90.00°
Fractional positions:
Co: 0.000 0.000 0.000
Te: 0.000 0.500 0.500
Te: 0.500 0.000 0.500
H: 0.500 0.500 0.500
Br: 0.500 0.500 0.000

Total energy ... -14.7 eV/cell
DOS at the Fermi energy ... 2.39 states/eV/cell

***

2.
Entry from the Alexandria database: HfCo2Br after structural relaxation (PBE).

a = 4.429 Å, b = 4.429 Å, c = 4.429 Å
α = 60.00°, β = 60.00°, γ = 60.00°
Fractional positions:
Hf: 0.000 0.000 0.000
Co: 0.250 0.250 0.250
Co: 0.750 0.750 0.750
Br: 0.500 0.500 0.500

Formation energy (no corrections) ... 0.516 eV per atom
E above lowest polymorph ... 0 meV/atom
DOS at the Fermi energy ... 4.37 states/eV/cell

***

3.
Entry from the Alexandria database: HfCo2Br after structural relaxation (PBE).

a = 6.655 Å, b = 6.655 Å, c = 6.655 Å
α = 131.40°, β = 131.40°, γ = 71.18°
Fractional positions:
Hf: 0.000 0.000 0.000
Hf: 0.750 0.250 0.500
Co: 0.156 0.625 0.031
Co: 0.375 0.406 0.531
Co: 0.594 0.125 0.969
Co: 0.875 0.844 0.469
Br: 0.250 0.750 0.500
Br: 0.500 0.500 0.000

Formation energy (no corrections) ... 0.629 eV per atom
E above lowest polymorph ... 113 meV/atom
DOS at the Fermi energy ... 10.86 states/eV/cell

***

4.
Entry from the Alexandria database: HfCo3Br after structural relaxation (PBE).

a = 4.706 Å, b = 4.706 Å, c = 4.706 Å
α = 90.00°, β = 90.00°, γ = 90.00°
Fractional positions:
Hf: 0.000 0.000 0.000
Co: 0.000 0.000 0.500
Co: 0.000 0.500 0.000
Co: 0.500 0.000 0.000
Br: 0.500 0.500 0.500

Formation energy (no corrections) ... 1.452 eV per atom
E above lowest polymorph ... 584 meV/atom
DOS at the Fermi energy ... 2.52 states/eV/cell

***

5.
Entry from the Alexandria database: Hf2CoBr after structural relaxation (PBE).

a = 7.300 Å, b = 7.300 Å, c = 7.300 Å
α = 133.16°, β = 133.16°, γ = 68.41°
Fractional positions:
Hf: 0.058 0.625 0.933
Hf: 0.375 0.308 0.433
Hf: 0.692 0.125 0.067
Hf: 0.875 0.942 0.567
Co: 0.000 0.000 0.000
Co: 0.750 0.250 0.500
Br: 0.250 0.750 0.500
Br: 0.500 0.500 0.000

Formation energy (no corrections) ... 0.325 eV per atom
E above lowest polymorph ... 166 meV/atom
DOS at the Fermi energy ... 2.32 states/eV/cell

***

6.
Entry from the Alexandria database: HfCo3Br after structural relaxation (PBE).

a = 4.296 Å, b = 4.296 Å, c = 4.296 Å
α = 90.00°, β = 90.00°, γ = 90.00°
Fractional positions:
Hf: 0.000 0.000 0.000
Co: 0.000 0.500 0.500
Co: 0.500 0.000 0.500
Co: 0.500 0.500 0.000
Br: 0.500 0.500 0.500

Formation energy (no corrections) ... 0.868 eV per atom
E above lowest polymorph ... 0 meV/atom
DOS at the Fermi energy ... 5.63 states/eV/cell

***

7.
Entry from the Alexandria database: Hf2CoBr after structural relaxation (PBE).

a = 4.672 Å, b = 4.672 Å, c = 4.672 Å
α = 60.00°, β = 60.00°, γ = 60.00°
Fractional positions:
Hf: 0.250 0.250 0.250
Hf: 0.750 0.750 0.750
Co: 0.000 0.000 0.000
Br: 0.500 0.500 0.500

Formation energy (no corrections) ... 0.159 eV per atom
E above lowest polymorph ... 0 meV/atom
DOS at the Fermi energy ... 4.42 states/eV/cell

***

8.
Entry from the Alexandria database: Hf2CoSbBr after structural relaxation (PBE).

a = 4.832 Å, b = 4.832 Å, c = 5.376 Å
α = 90.00°, β = 90.00°, γ = 90.00°
Fractional positions:
Hf: 0.000 0.500 0.000
Hf: 0.500 0.000 0.000
Co: 0.000 0.000 0.500
Sb: 0.500 0.500 0.500
Br: 0.500 0.500 0.000

Formation energy (no corrections) ... 1.369 eV per atom
DOS at the Fermi energy ... 7.06 states/eV/cell